1.
Computed, not measured: TlAgCl2 after structural relaxation at the GGA-PBEsol level of DFT.

Summary:
- Spin magnetization: 0.000 μB per atom
- Raw formation energy: -0.615 eV/atom

a = 3.727 Å, b = 3.737 Å, c = 7.117 Å
α = 103.05°, β = 90.00°, γ = 90.00°
Element x y z (fractional)
Ag 0.500 0.500 0.000
Tl 0.500 0.000 0.500
Cl 0.000 0.624 0.770
Cl 0.000 0.376 0.230

=====

2.
Computed, not measured: AgWCl2 after structural relaxation at the GGA-PBEsol level of DFT.

Summary:
- Spin magnetization: 0.000 μB per atom
- Raw formation energy: 0.212 eV/atom
- ΔE to the lowest computed polymorph: 0.1646 eV/atom

a = 2.974 Å, b = 2.974 Å, c = 10.317 Å
α = 81.71°, β = 81.71°, γ = 60.00°
Element x y z (fractional)
W 0.000 0.000 0.000
Cl 0.927 0.927 0.220
Cl 0.073 0.073 0.780
Ag 0.500 0.500 0.500

=====

3.
Computed, not measured: AgW2Cl after structural relaxation at the GGA-PBEsol level of DFT.

Summary:
- Spin magnetization: 0.000 μB per atom
- Raw formation energy: 1.318 eV/atom
- ΔE to the lowest computed polymorph: 0.9341 eV/atom

a = 3.753 Å, b = 3.753 Å, c = 4.760 Å
α = 90.00°, β = 90.00°, γ = 90.00°
Element x y z (fractional)
W 0.500 0.000 0.000
W 0.000 0.500 0.000
Ag 0.500 0.500 0.500
Cl 0.000 0.000 0.500

=====

4.
Computed, not measured: AgW2Cl after structural relaxation at the GGA-PBEsol level of DFT.

Summary:
- Spin magnetization: 0.000 μB per atom
- Raw formation energy: 1.017 eV/atom
- ΔE to the lowest computed polymorph: 0.6328 eV/atom

a = 2.749 Å, b = 4.911 Å, c = 5.678 Å
α = 113.65°, β = 100.73°, γ = 97.41°
Element x y z (fractional)
Cl 0.500 0.500 0.000
W 0.000 0.000 0.500
W 0.500 0.500 0.500
Ag 0.000 0.000 0.000

=====

5.
Computed, not measured: AgWCl2 after structural relaxation at the GGA-PBEsol level of DFT.

Summary:
- Spin magnetization: 0.000 μB per atom
- Raw formation energy: 0.047 eV/atom
- ΔE to the lowest computed polymorph: 0.0000 eV/atom

a = 2.885 Å, b = 4.941 Å, c = 6.578 Å
α = 112.06°, β = 102.67°, γ = 90.00°
Element x y z (fractional)
Cl 0.162 0.162 0.324
Cl 0.838 0.838 0.676
Ag 0.000 0.500 0.000
W 0.500 0.000 0.000

=====

6.
Computed, not measured: AgW2Cl after structural relaxation at the GGA-PBEsol level of DFT.

Summary:
- Spin magnetization: 0.000 μB per atom
- Raw formation energy: 0.384 eV/atom
- ΔE to the lowest computed polymorph: 0.0000 eV/atom

a = 2.863 Å, b = 2.863 Å, c = 8.860 Å
α = 90.00°, β = 90.00°, γ = 112.68°
Element x y z (fractional)
W 0.000 0.000 0.995
W 0.500 0.500 0.769
Ag 0.000 0.000 0.507
Cl 0.500 0.500 0.230

=====

7.
Computed, not measured: YAgCl2 after structural relaxation at the GGA-PBEsol level of DFT.

Summary:
- Spin magnetization: 0.000 μB per atom
- Raw formation energy: -0.838 eV/atom
- ΔE to the lowest computed polymorph: 0.3521 eV/atom

a = 4.894 Å, b = 4.894 Å, c = 4.894 Å
α = 60.00°, β = 60.00°, γ = 60.00°
Element x y z (fractional)
Ag 0.500 0.500 0.500
Cl 0.750 0.750 0.750
Cl 0.000 0.000 0.000
Y 0.250 0.250 0.250

=====

8.
Computed, not measured: YAgCl3 after structural relaxation at the GGA-PBEsol level of DFT.

Summary:
- Spin magnetization: 0.097 μB per atom
- Raw formation energy: -1.210 eV/atom

a = 5.193 Å, b = 5.193 Å, c = 5.193 Å
α = 90.00°, β = 90.00°, γ = 90.00°
Element x y z (fractional)
Cl 0.000 0.500 0.000
Cl 0.000 0.000 0.500
Cl 0.500 0.000 0.000
Y 0.000 0.000 0.000
Ag 0.500 0.500 0.500